(1)
A geometry-optimized CuNiO structure, computed with PBE with a Hubbard U.

Unit cell a=2.9371 b=3.8303 c=6.1992 alpha=90.00 beta=76.08 gamma=90.00
Last column: nearest neighbours and their distance in Å.
Element x y z (fractional)
Ni1 0.6994 0.7500 0.6020  2 O 2.00
Ni2 0.3006 0.2500 0.3980  2 O 2.00
O1 0.0842 0.7500 0.8287  2 Cu 1.92, 2 Ni 2.00
O2 0.9158 0.2500 0.1713  2 Cu 1.92, 2 Ni 2.00
Cu1 0.0935 0.2500 0.8101  2 O 1.92
Cu2 0.9065 0.7500 0.1899  2 O 1.92

Output
V in Å³/atom: 11.28
SG: P2_1/m, No. 11

=====

(2)
A geometry-optimized Cu6NiO6 structure, computed with PBE with a Hubbard U.

Unit cell a=5.7706 b=5.7706 c=5.7706 alpha=60.00 beta=60.00 gamma=60.00
Last column: nearest neighbours and their distance in Å.
Element x y z (fractional)
Cu1 0.5000 0.0000 0.0000  4 O 2.04
Cu2 0.0000 0.0000 0.5000  4 O 2.04
Cu3 0.5000 0.0000 0.5000  4 O 2.04
Cu4 0.0000 0.5000 0.0000  4 O 2.04
Cu5 0.5000 0.5000 0.0000  4 O 2.04
Cu6 0.0000 0.5000 0.5000  4 O 2.04
O1 0.7548 0.2452 0.2452  1 Ni 2.00, 4 Cu 2.04
O2 0.2452 0.7548 0.7548  1 Ni 2.00, 4 Cu 2.04
O3 0.7548 0.2452 0.7548  1 Ni 2.00, 4 Cu 2.04
O4 0.2452 0.7548 0.2452  1 Ni 2.00, 4 Cu 2.04
O5 0.2452 0.2452 0.7548  1 Ni 2.00, 4 Cu 2.04
O6 0.7548 0.7548 0.2452  1 Ni 2.00, 4 Cu 2.04
Ni1 0.0000 0.0000 0.0000  6 O 2.00

Output
V in Å³/atom: 10.45
SG: Fm-3m, No. 225

=====

(3)
A geometry-optimized CuNi5O6 structure, computed with PBE with a Hubbard U.

Unit cell a=5.8541 b=5.5771 c=5.0601 alpha=56.56 beta=73.43 gamma=58.84
Last column: nearest neighbours and their distance in Å.
Element x y z (fractional)
Ni1 0.0000 0.6699 0.6601  6 O 2.04-2.16
Ni2 0.5000 0.5000 0.0000  4 O 1.94
Ni3 0.5000 0.8349 0.3301  4 O 1.92-1.95
Ni4 0.5000 0.1651 0.6699  4 O 1.92-1.95
Ni5 0.0000 0.3301 0.3399  6 O 2.04-2.16
O1 0.2395 0.8348 0.6609  4 Ni 1.92-2.14
O2 0.7605 0.1652 0.3391  4 Ni 1.92-2.14
O3 0.7605 0.5043 0.6609  4 Ni 1.92-2.14
O4 0.2395 0.4957 0.3391  4 Ni 1.92-2.14
O5 0.7710 0.8293 0.0000  4 Ni 1.95-2.16, 1 Cu 2.01
O6 0.2290 0.1707 0.0000  4 Ni 1.95-2.16, 1 Cu 2.01
Cu1 0.0000 0.0000 0.0000  6 O 2.01-2.19

Output
V in Å³/atom: 9.83
SG: C2/m, No. 12

=====

What did we get for E_tot? Answer: -4.046; -4.842; -4.621 eV per atom, in the order shown.